The following is a PBE-GGA calculation of an optimized crystal structure of LiRuSeI, from the Alexandria database.

Cell and atoms, written as POSCAR:
```
LiRuSeI
1.0
5.1178 -2.0818 0.0000
5.1178 2.0818 0.0000
-0.0213 0.0000 4.7356
Li Ru Se I
1 1 1 1
direct
0.0000 0.0000 0.0000
0.7150 0.7150 0.9045
0.3169 0.3169 0.8995
0.5960 0.5960 0.4028
```

density: 5.17 Mg/m³
raw formation energy: -0.172 eV/atom
size of the total moment: 0.00 μB/cell
SG: Cm (8)